(1)
A plane-wave DFT calculation with PBE was carried out for a relaxed structure of Dy3ScTl3.

abc: 5.5726 9.0319 9.0319
angles: 120.00 90.00 90.00
Fractional positions:
Tl (0.2500, 0.2505, 0.0544)
Dy (0.2500, 0.5415, 0.9020)
Dy (0.7500, 0.9020, 0.3605)
Tl (0.7500, 0.7495, 0.9456)
Tl (0.7500, 0.0544, 0.8039)
Tl (0.2500, 0.8039, 0.7495)
Sc (0.7500, 0.3333, 0.6667)
Dy (0.2500, 0.0980, 0.6395)
Dy (0.2500, 0.3605, 0.4585)
Dy (0.7500, 0.4585, 0.0980)
Tl (0.2500, 0.9456, 0.1961)
Sc (0.2500, 0.6667, 0.3333)
Dy (0.7500, 0.6395, 0.5415)
Tl (0.7500, 0.1961, 0.2505)

ρ	9.66	g cm⁻³
E_form	-0.106	eV/atom
space-group type	No. 176

---

(2)
A plane-wave DFT calculation with PBE was carried out for a relaxed structure of V4BH2.

abc: 3.9543 3.9543 5.2738
angles: 67.98 67.98 90.00
Fractional positions:
H (0.5705, 0.5705, 0.8591)
H (0.4295, 0.4295, 0.1409)
V (0.5000, 0.0000, 0.0000)
B (0.0000, 0.0000, 0.0000)
V (0.0000, 0.5000, 0.0000)
V (0.2360, 0.2360, 0.5280)
V (0.7640, 0.7640, 0.4720)

ρ	5.14	g cm⁻³
space-group type	No. 139
calculated total energy	-6.987	eV/atom

---

(3)
A plane-wave DFT calculation with PBE was carried out for a relaxed structure of FeSn.

abc: 5.3553 5.3553 5.3553
angles: 90.00 90.00 90.00
Each line ends with the local moment (μB).
Fractional positions:
Sn (0.0000, 0.5000, 0.0000)  -0.10
Fe (0.0000, 0.5000, 0.5000)  2.40
Fe (0.0000, 0.0000, 0.0000)  2.40
Fe (0.5000, 0.0000, 0.5000)  2.40
Fe (0.5000, 0.5000, 0.0000)  2.40
Sn (0.5000, 0.0000, 0.0000)  -0.10
Sn (0.5000, 0.5000, 0.5000)  -0.10
Sn (0.0000, 0.0000, 0.5000)  -0.10

ρ	7.55	g cm⁻³
E_form	0.543	eV/atom
space-group type	No. 225

---

(4)
A plane-wave DFT calculation with PBE was carried out for a relaxed structure of Sc5Co4.

abc: 7.7337 7.7337 5.6988
angles: 90.00 90.00 60.00
Fractional positions:
Sc (0.2734, 0.0000, 0.7500)
Sc (0.7266, 0.0000, 0.2500)
Co (0.0000, 0.3816, 0.7500)
Co (0.3816, 0.6184, 0.7500)
Co (0.3816, 0.0000, 0.2500)
Sc (0.0000, 0.7266, 0.7500)
Co (0.0000, 0.0000, 0.5000)
Sc (0.6667, 0.6667, 0.0000)
Sc (0.3333, 0.3333, 0.0000)
Co (0.6184, 0.0000, 0.7500)
Sc (0.3333, 0.3333, 0.5000)
Sc (0.0000, 0.2734, 0.2500)
Co (0.0000, 0.6184, 0.2500)
Co (0.0000, 0.0000, 0.0000)
Sc (0.2734, 0.7266, 0.2500)
Sc (0.6667, 0.6667, 0.5000)
Sc (0.7266, 0.2734, 0.7500)
Co (0.6184, 0.3816, 0.2500)

ρ	5.18	g cm⁻³
E_form	-0.193	eV/atom
space-group type	No. 193